Entry 1:
Computed, not measured: a relaxed structure of Ba5TlSe6 at the GGA-PBE level of DFT.

Structure (POSCAR):
```
Ba5TlSe6
1.0
-1.253 -6.241 5.039
0.535 -6.967 -4.139
7.165 -3.765 -0.704
Se Ba Tl
6 5 1
Cartesian
4.079 -10.089 1.601 Se
-0.539 -9.933 0.675 Se
1.470 -6.510 3.207 Se
2.368 -6.884 -1.405 Se
4.977 -10.464 -3.011 Se
-0.178 -3.276 0.225 Se
-0.359 -6.604 0.450 Ba
4.262 -6.793 1.365 Ba
2.576 -3.578 -1.613 Ba
2.185 -10.181 -1.169 Ba
5.124 -7.155 -3.231 Ba
0.000 0.000 0.000 Tl
```

Crystal system: monoclinic
DFT total energy in eV/atom: -4.44
Formation energy from raw total energies in meV per atom: -1703
Density of states at the Fermi level in states/eV/cell: 5.93

---

Entry 2:
Computed, not measured: a relaxed structure of CeNi2Pt4 at the GGA-PBE level of DFT.

Structure (POSCAR):
```
CeNi2Pt4
1.0
5.966 -0.975 0.000
-3.300 5.065 0.000
-1.333 -2.045 5.530
Ni Pt Ce
2 4 1
Cartesian
2.983 -0.487 2.765 Ni
-1.650 2.532 2.765 Ni
2.405 1.346 1.280 Pt
0.261 2.744 1.280 Pt
-1.072 0.699 4.251 Pt
1.072 -0.699 4.251 Pt
0.000 0.000 0.000 Ce
```

ΔE_f in eV per atom: 0.07
E above lowest polymorph in meV/atom: 578.5
Crystal system: tetragonal
DFT total energy in eV/atom: -5.88
Density of states at the Fermi level in states/eV/cell: 11.57

---

Entry 3:
Computed, not measured: a relaxed structure of Rb4NdSm3Se8 at the GGA-PBE level of DFT.

Structure (POSCAR):
```
Rb4NdSm3Se8
1.0
-0.189 4.690 -7.301
-7.870 -4.501 -2.689
-0.119 3.975 7.716
Se Nd Rb Sm
8 1 4 3
Cartesian
-5.760 4.114 0.232 Se
-5.692 2.145 -3.635 Se
-5.667 1.787 3.854 Se
-2.485 2.019 1.361 Se
-2.569 4.348 -2.300 Se
-2.510 2.376 -6.128 Se
-2.417 0.050 -2.506 Se
-5.608 -0.184 0.026 Se
-3.935 -2.251 -1.344 Nd
-0.094 2.345 -3.651 Rb
-0.154 4.333 0.208 Rb
-0.059 1.987 3.858 Rb
0.000 0.000 0.000 Rb
-4.029 0.094 -4.995 Sm
-4.088 2.082 -1.137 Sm
-3.994 -0.263 2.514 Sm
```

Crystal system: trigonal
DFT total energy in eV/atom: -4.90
Formation energy from raw total energies in meV per atom: -1737
Density of states at the Fermi level in states/eV/cell: 0.00

---

Entry 4:
Computed, not measured: a relaxed structure of AcNpRu2 at the GGA-PBE level of DFT.

Structure (POSCAR):
```
AcNpRu2
1.0
-1.957 -3.554 -2.030
1.474 -2.750 3.394
-8.325 2.945 2.870
Ac Ru Np
2 4 2
Cartesian
-2.940 -2.361 -0.636 Ac
-5.868 -0.998 4.871 Ac
-4.290 -0.102 1.780 Ru
-8.400 -1.231 2.650 Ru
-0.409 -2.128 1.585 Ru
-4.519 -3.257 2.455 Ru
-2.310 -1.734 2.729 Np
-6.499 -1.624 1.506 Np
```

ΔE_f in eV per atom: -0.05
E above lowest polymorph in meV/atom: 118.0
Crystal system: orthorhombic
DFT total energy in eV/atom: -8.95
Density of states at the Fermi level in states/eV/cell: 15.01

---

Entry 5:
Computed, not measured: a relaxed structure of Pm3ErSn6 at the GGA-PBE level of DFT.

Structure (POSCAR):
```
Pm3ErSn6
1.0
7.230 0.000 -0.327
0.000 9.666 0.000
-0.315 0.000 8.373
Sn Pm Er
12 6 2
Cartesian
0.900 3.075 0.601 Sn
5.095 7.948 1.451 Sn
1.348 2.685 3.577 Sn
1.323 6.551 5.801 Sn
2.109 7.518 0.446 Sn
4.806 2.147 7.600 Sn
6.015 6.591 7.445 Sn
2.558 7.908 3.422 Sn
4.357 1.758 4.624 Sn
5.593 3.115 2.245 Sn
5.567 6.980 4.468 Sn
1.820 1.718 6.595 Sn
6.729 3.914 5.643 Pm
-0.158 0.000 4.186 Pm
0.186 5.752 2.403 Pm
3.643 8.747 6.425 Pm
3.615 4.833 -0.164 Pm
3.272 0.919 1.620 Pm
3.458 4.833 4.023 Er
0.000 0.000 0.000 Er
```

ΔE_f in eV per atom: -0.48
Crystal system: monoclinic
DFT total energy in eV/atom: -4.77
Density of states at the Fermi level in states/eV/cell: 12.47

---

Entry 6:
Computed, not measured: a relaxed structure of CaMg2BeAu4 at the GGA-PBE level of DFT.

Structure (POSCAR):
```
CaMg2BeAu4
1.0
4.601 0.000 0.000
2.301 3.985 0.000
2.301 1.328 8.213
Au Mg Ca Be
4 2 1 1
Cartesian
2.301 1.328 4.945 Au
4.601 2.657 1.698 Au
6.902 3.985 3.268 Au
4.601 2.657 6.515 Au
6.902 3.985 6.000 Mg
2.301 1.328 2.214 Mg
0.000 0.000 0.000 Ca
4.601 2.657 4.107 Be
```

ΔE_f in eV per atom: -0.47
Crystal system: trigonal
DFT total energy in eV/atom: -3.23
Density of states at the Fermi level in states/eV/cell: 3.03

---

Entry 7:
Computed, not measured: a relaxed structure of BeSnPb2 at the GGA-PBE level of DFT.

Structure (POSCAR):
```
BeSnPb2
1.0
0.000 3.738 3.738
3.738 0.000 3.738
3.738 3.738 0.000
Pb Sn Be
2 1 1
Cartesian
5.608 5.608 5.608 Pb
1.869 1.869 1.869 Pb
3.738 3.738 3.738 Sn
0.000 0.000 0.000 Be
```

ΔE_f in eV per atom: 0.53
E above lowest polymorph in meV/atom: 67.8
Crystal system: cubic
DFT total energy in eV/atom: -3.26
Density of states at the Fermi level in states/eV/cell: 1.91

---

Entry 8:
Computed, not measured: a relaxed structure of K2PaGaS5 at the GGA-PBE level of DFT.

Structure (POSCAR):
```
K2PaGaS5
1.0
-1.224 3.815 0.632
-5.251 -4.864 6.179
9.930 1.583 9.685
S K Pa Ga
10 4 2 2
Cartesian
-3.903 -1.998 4.502 S
-0.487 -0.313 0.945 S
-0.634 0.117 11.088 S
7.156 3.123 8.032 S
6.042 2.181 11.560 S
3.015 -0.718 10.178 S
-1.477 0.946 4.449 S
0.391 -1.173 7.840 S
2.564 1.767 7.318 S
-2.926 -2.466 9.220 S
5.468 0.467 7.774 K
1.880 -0.189 4.787 K
-3.628 -0.191 7.146 K
3.206 0.983 13.299 K
1.239 1.021 9.259 Pa
-2.123 -1.179 3.004 Pa
7.749 2.970 10.101 Ga
-0.901 -1.896 9.703 Ga
```

Crystal system: orthorhombic
DFT total energy in eV/atom: -5.20
Formation energy from raw total energies in meV per atom: -1272

---

Entry 9:
Computed, not measured: a relaxed structure of La5Ho4Er2 at the GGA-PBE level of DFT.

Structure (POSCAR):
```
La5Ho4Er2
1.0
3.501 0.000 -0.661
-0.206 11.686 -1.093
-0.103 0.236 9.057
Ho La Er
4 5 2
Cartesian
1.143 2.540 6.051 Ho
2.049 9.382 1.251 Ho
3.126 8.839 6.951 Ho
0.066 3.083 0.351 Ho
0.213 6.303 1.125 La
0.567 0.926 3.004 La
1.751 0.000 -0.331 La
2.980 5.619 6.177 La
2.625 10.996 4.298 La
2.388 4.178 3.044 Er
0.804 7.744 4.257 Er
```

ΔE_f in eV per atom: 0.08
E above lowest polymorph in meV/atom: 0.0
Crystal system: monoclinic
DFT total energy in eV/atom: -4.65
Density of states at the Fermi level in states/eV/cell: 15.55

---

Entry 10:
Computed, not measured: a relaxed structure of Rb2Cd3In4Hg at the GGA-PBE level of DFT.

Structure (POSCAR):
```
Rb2Cd3In4Hg
1.0
-0.802 4.470 2.047
-0.942 -2.176 4.382
12.317 0.812 3.051
Rb In Cd Hg
2 4 3 1
Cartesian
2.716 2.441 1.796 Rb
8.728 -0.481 4.470 Rb
-0.872 1.147 3.214 In
7.369 2.747 2.949 In
4.075 -0.788 3.317 In
0.000 0.000 0.000 In
10.236 2.936 3.659 Cd
6.158 0.406 1.526 Cd
1.208 -0.977 2.607 Cd
5.286 1.553 4.740 Hg
```

ΔE_f in eV per atom: -0.08
Crystal system: tetragonal
DFT total energy in eV/atom: -1.68
Density of states at the Fermi level in states/eV/cell: 6.94

---

Entry 11:
Computed, not measured: a relaxed structure of AsPb2C2 at the GGA-PBE level of DFT.

Structure (POSCAR):
```
AsPb2C2
1.0
8.155 0.000 0.000
0.000 8.155 0.000
0.000 0.000 3.298
C Pb As
4 4 2
Cartesian
7.701 3.623 1.649 C
4.532 7.701 1.649 C
3.623 0.454 1.649 C
0.454 4.532 1.649 C
5.727 1.649 0.000 Pb
1.649 2.428 0.000 Pb
6.506 5.727 0.000 Pb
2.428 6.506 0.000 Pb
4.077 4.077 0.000 As
0.000 0.000 0.000 As
```

ΔE_f in eV per atom: 0.98
Crystal system: tetragonal
DFT total energy in eV/atom: -5.12
Density of states at the Fermi level in states/eV/cell: 3.19

---

Entry 12:
Computed, not measured: a relaxed structure of Tm2ScHg at the GGA-PBE level of DFT.

Structure (POSCAR):
```
Tm2ScHg
1.0
5.255 0.000 0.000
2.627 4.551 0.000
2.627 1.517 4.291
Tm Hg Sc
2 1 1
Cartesian
2.627 1.517 1.073 Tm
7.882 4.551 3.218 Tm
0.000 0.000 0.000 Hg
5.255 3.034 2.145 Sc
```

ΔE_f in eV per atom: -0.07
E above lowest polymorph in meV/atom: 150.0
Crystal system: cubic
DFT total energy in eV/atom: -3.96
Density of states at the Fermi level in states/eV/cell: 5.71

---

DFT total energy of number 1 (Ba5TlSe6)?
-4.44 eV/atom

---

Among the records above, which one has the lowest DFT total energy?
AcNpRu2

---

Which formula does entry 10 have?
Rb2Cd3In4Hg